No. 1
Here is HfZrPO after structural relaxation from OQMD. Energies are from PBE.

Lattice parameters (Å, degrees): 3.726 7.044 5.577 90.00 90.00 90.00
Space group Pmc2_1 (No. 26)
Symmetry-distinct sites (fractional):
Hf (0.000, 0.108, 0.000)
Zr (0.500, 0.275, 0.501)
P (0.500, 0.358, 0.965)
O (0.000, 0.180, 0.366)

- relative energy among the computed polymorphs (eV per formula unit) = 0.49


No. 2
Here is PrBPd after structural relaxation from OQMD. Energies are from PBE.

Lattice parameters (Å, degrees): 6.9144 6.9144 3.8114 90.00 90.00 120.00
Space group P-62m (No. 189)
Symmetry-distinct sites (fractional):
Pr (0.0000, 0.5835, 0.0000)
B (0.0000, 0.0000, 0.0000)
B (0.3333, 0.6667, 0.5000)
Pd (0.0000, 0.2305, 0.5000)

- relative energy among the computed polymorphs (eV per formula unit) = 0.00


No. 3
Here is AcMgMo after structural relaxation from OQMD. Energies are from PBE.

Lattice parameters (Å, degrees): 7.320 7.320 7.320 90.00 90.00 90.00
Space group F-43m (No. 216)
Symmetry-distinct sites (fractional):
Ac (0.000, 0.000, 0.000)
Mg (0.250, 0.250, 0.750)
Mo (0.250, 0.250, 0.250)

- relative energy among the computed polymorphs (eV per formula unit) = 0.96


No. 4
Here is NbTlCoOs after structural relaxation from OQMD. Energies are from PBE.

Lattice parameters (Å, degrees): 6.381 6.381 6.381 90.00 90.00 90.00
Space group F-43m (No. 216)
Symmetry-distinct sites (fractional):
Nb (0.000, 0.000, 0.000)
Tl (0.000, 0.000, 0.500)
Co (0.250, 0.250, 0.750)
Os (0.250, 0.250, 0.250)

- relative energy among the computed polymorphs (eV per formula unit) = 0.00


No. 5
Here is Sm3Co4Sn13 after structural relaxation from OQMD. Energies are from PBE.

Lattice parameters (Å, degrees): 9.598 9.598 9.598 90.00 90.00 90.00
Space group Pm-3n (No. 223)
Symmetry-distinct sites (fractional):
Sm (0.000, 0.250, 0.500)
Co (0.250, 0.250, 0.250)
Sn (0.000, 0.000, 0.000)
Sn (0.000, 0.304, 0.158)

- final energy (eV for the cell shown) = -203.49


No. 6
Here is Li6CuI8 after structural relaxation from OQMD. Energies are from PBE.

Lattice parameters (Å, degrees): 11.757 11.757 11.757 90.00 90.00 90.00
Space group Fm-3m (No. 225)
Symmetry-distinct sites (fractional):
Li (0.000, 0.250, 0.250)
Cu (0.000, 0.000, 0.000)
I (0.000, 0.000, 0.242)
I (0.250, 0.250, 0.250)

- final energy (eV for the cell shown) = -166.18


No. 7
Here is MgNiGe after structural relaxation from OQMD. Energies are from PBE.

Lattice parameters (Å, degrees): 4.424 4.147 10.172 90.00 90.00 90.00
Space group Pnma (No. 62)
Symmetry-distinct sites (fractional):
Mg (0.211, 0.250, 0.154)
Ni (0.201, 0.250, 0.477)
Ge (0.246, 0.750, 0.369)

- final energy (eV for the cell shown) = -49.97


No. 8
Here is FeCu4NiAs2 after structural relaxation from OQMD. Energies are from PBE.

Lattice parameters (Å, degrees): 4.084 4.084 6.165 90.00 90.00 90.00
Space group P4/mmm (No. 123)
Symmetry-distinct sites (fractional):
Fe (0.000, 0.000, 0.000)
Cu (0.000, 0.500, 0.260)
Ni (0.500, 0.500, 0.500)
As (0.000, 0.000, 0.500)
As (0.500, 0.500, 0.000)

- final energy (eV for the cell shown) = -36.40


No. 9
Here is Dy2Er2Lu3Ni2Te2 after structural relaxation from OQMD. Energies are from PBE.

Lattice parameters (Å, degrees): 3.810 15.400 9.508 90.00 90.00 90.00
Space group Imm2 (No. 44)
Symmetry-distinct sites (fractional):
Dy (0.000, 0.134, 0.000)
Er (0.000, 0.354, 0.854)
Lu (0.000, 0.000, 0.581)
Lu (0.000, 0.315, 0.203)
Ni (0.000, 0.235, 0.513)
Te (0.000, 0.000, 0.246)
Te (0.000, 0.500, 0.344)

- relative energy among the computed polymorphs (eV per formula unit) = 0.01


No. 10
Here is BeFeAgBi after structural relaxation from OQMD. Energies are from PBE.

Lattice parameters (Å, degrees): 6.469 6.469 6.469 90.00 90.00 90.00
Space group F-43m (No. 216)
Symmetry-distinct sites (fractional):
Be (0.000, 0.000, 0.000)
Fe (0.000, 0.000, 0.500)
Ag (0.250, 0.250, 0.750)
Bi (0.250, 0.250, 0.250)

- relative energy among the computed polymorphs (eV per formula unit) = 0.00


No. 11
Here is LuTcNiB after structural relaxation from OQMD. Energies are from PBE.

Lattice parameters (Å, degrees): 6.120 6.120 6.120 90.00 90.00 90.00
Space group F-43m (No. 216)
Symmetry-distinct sites (fractional):
Lu (0.000, 0.000, 0.000)
Tc (0.250, 0.250, 0.750)
Ni (0.000, 0.000, 0.500)
B (0.250, 0.250, 0.250)

- relative energy among the computed polymorphs (eV per formula unit) = 2.17


No. 12
Here is GdAs2 after structural relaxation from OQMD. Energies are from PBE.

Lattice parameters (Å, degrees): 7.488 5.605 7.601 90.00 112.31 90.00
Space group P2_1/c (No. 14)
Symmetry-distinct sites (fractional):
Gd (0.194, 0.194, 0.048)
As (0.144, 0.646, 0.837)
As (0.394, 0.562, 0.328)

- final energy (eV for the cell shown) = -65.84